1.
KGdO3, optimized geometry, DFT GGA-PBE; M_tot = 2.00 μB per formula unit; V = 180 Å³ per cell; final energy = -5.94 eV/atom; theoretical density = 4.51 Mg/m³
1.0
-0.042 -6.230 1.571
-3.250 -4.203 -3.614
3.002 -4.218 -3.507
Gd K O
2 2 6
Direct
0.852 0.852 0.443
0.148 0.148 0.557
0.621 0.621 0.138
0.379 0.379 0.862
0.546 0.174 0.282
0.998 0.546 0.282
0.174 0.998 0.282
0.826 0.002 0.718
0.002 0.454 0.718
0.454 0.826 0.718



2.
KGdO3, optimized geometry, DFT GGA-PBE; M_tot = 2.00 μB per formula unit; V = 366 Å³ per cell; final energy = -5.89 eV/atom; theoretical density = 4.44 Mg/m³
1.0
-1.499 5.674 -1.487
-5.825 -1.439 0.382
0.008 2.550 9.723
Gd K O
4 4 12
Direct
0.962 0.014 0.250
0.538 0.514 0.250
0.462 0.486 0.750
0.038 0.986 0.750
0.500 0.000 0.000
0.000 0.500 0.000
0.500 0.000 0.500
0.000 0.500 0.500
0.743 0.259 0.137
0.757 0.759 0.137
0.243 0.273 0.250
0.257 0.773 0.250
0.743 0.259 0.363
0.757 0.759 0.363
0.243 0.241 0.637
0.257 0.741 0.637
0.743 0.227 0.750
0.757 0.727 0.750
0.243 0.241 0.863
0.257 0.741 0.863



3.
KGdO3, optimized geometry, DFT GGA-PBE; M_tot = 2.00 μB per formula unit; V = 176 Å³ per cell; final energy = -5.96 eV/atom; theoretical density = 4.62 Mg/m³
1.0
3.145 -1.816 -5.123
-3.145 -1.816 -5.123
0.000 3.631 -5.123
Gd K O
2 2 6
Direct
0.000 0.000 0.000
0.500 0.500 0.500
0.250 0.250 0.250
0.750 0.750 0.750
0.750 0.282 0.218
0.718 0.782 0.250
0.218 0.750 0.282
0.782 0.250 0.718
0.282 0.218 0.750
0.250 0.718 0.782



4.
KGdO3, optimized geometry, DFT GGA-PBE; M_tot = 0.05 μB per formula unit; V = 82 Å³ per cell; final energy = -5.62 eV/atom; theoretical density = 4.93 Mg/m³
1.0
-3.644 0.099 -0.741
0.071 -3.625 -0.832
-1.189 -1.325 5.670
Gd K O
1 1 3
Direct
0.000 0.000 0.929
0.500 0.500 0.457
0.500 0.500 0.060
0.500 0.000 0.727
0.000 0.500 0.727



5.
KGdO3, optimized geometry, DFT GGA-PBE; M_tot = 2.00 μB per formula unit; V = 87 Å³ per cell; final energy = -5.95 eV/atom; theoretical density = 4.68 Mg/m³
1.0
4.419 0.000 0.000
0.000 4.419 0.000
0.000 0.000 4.444
Gd K O
1 1 3
Direct
0.500 0.500 0.577
0.000 0.000 0.075
0.500 0.500 0.078
0.500 0.000 0.585
0.000 0.500 0.585



6.
K2Gd2O5, optimized geometry, DFT GGA-PBE; M_tot = 2.00 μB per formula unit; V = 170 Å³ per cell; ΔE to the lowest computed polymorph = 0.00 eV per formula unit; final energy = -6.22 eV/atom; theoretical density = 4.61 Mg/m³
1.0
-7.369 1.658 -5.125
-1.153 -4.150 0.316
-2.273 0.902 3.560
Gd K O
2 2 5
Direct
0.264 0.500 0.500
0.736 0.500 0.500
0.000 0.000 0.000
0.500 0.000 0.000
0.202 0.500 0.000
0.798 0.500 0.000
0.202 0.000 0.500
0.798 0.000 0.500
0.500 0.500 0.500



7.
KGdO3, optimized geometry, DFT GGA-PBE; M_tot = 2.00 μB per formula unit; V = 166 Å³ per cell; final energy = -5.50 eV/atom; theoretical density = 4.90 Mg/m³
1.0
-4.495 -2.330 2.929
-2.191 -4.689 -2.725
1.485 -4.981 2.683
Gd K O
2 2 6
Direct
0.250 0.250 0.250
0.750 0.750 0.750
0.000 0.000 0.000
0.500 0.500 0.500
0.750 0.421 0.079
0.579 0.921 0.250
0.079 0.750 0.421
0.921 0.250 0.579
0.421 0.079 0.750
0.250 0.579 0.921



8.
KGdP4O12, optimized geometry, DFT GGA-PBE; M_tot = 0.01 μB per formula unit; V = 464 Å³ per cell; final energy = -7.27 eV/atom; theoretical density = 3.67 Mg/m³
1.0
7.171 0.000 -0.020
0.000 8.243 0.000
-0.250 0.000 7.848
Gd K O P
2 2 24 8
Direct
0.235 0.249 0.243
0.765 0.749 0.757
0.727 0.052 0.277
0.273 0.552 0.723
0.418 0.154 0.031
0.318 0.481 0.073
0.966 0.304 0.081
0.317 0.788 0.119
0.080 0.996 0.177
0.988 0.703 0.210
0.540 0.635 0.287
0.830 0.479 0.346
0.530 0.333 0.353
0.177 0.500 0.390
0.386 0.042 0.413
0.035 0.205 0.468
0.965 0.705 0.532
0.614 0.542 0.587
0.823 0.000 0.610
0.470 0.833 0.647
0.170 0.979 0.654
0.460 0.135 0.713
0.012 0.203 0.790
0.920 0.496 0.823
0.683 0.288 0.881
0.034 0.804 0.919
0.682 0.981 0.927
0.582 0.654 0.969
0.101 0.833 0.099
0.440 0.626 0.101
0.002 0.599 0.382
0.620 0.489 0.405
0.380 0.989 0.595
0.998 0.099 0.618
0.560 0.126 0.899
0.899 0.333 0.901



9.
KGdPO, optimized geometry, DFT GGA-PBE; M_tot = 0.00 μB per formula unit; V = 193 Å³ per cell; ΔE to the lowest computed polymorph = 0.04 eV per formula unit; final energy = -5.50 eV/atom; theoretical density = 4.19 Mg/m³
1.0
4.831 0.000 0.000
0.000 6.762 0.000
0.000 0.000 5.902
Gd K O P
2 2 2 2
Direct
0.000 0.770 0.009
0.000 0.230 0.509
0.500 0.129 0.010
0.500 0.871 0.510
0.000 0.998 0.263
0.000 0.002 0.763
0.500 0.440 0.472
0.500 0.560 0.972



10.
KGdP4O12, optimized geometry, DFT GGA-PBE; M_tot = 0.00 μB per formula unit; V = 460 Å³ per cell; final energy = -7.27 eV/atom; theoretical density = 3.70 Mg/m³
1.0
3.879 -6.099 -0.002
3.879 6.099 -0.002
-3.715 0.000 9.728
Gd K O P
2 2 24 8
Direct
0.119 0.881 0.250
0.881 0.119 0.750
0.820 0.180 0.250
0.180 0.820 0.750
0.842 0.865 0.078
0.536 0.279 0.078
0.361 0.512 0.091
0.304 0.829 0.095
0.921 0.510 0.116
0.245 0.203 0.186
0.797 0.755 0.314
0.490 0.079 0.384
0.171 0.696 0.405
0.488 0.639 0.409
0.721 0.464 0.422
0.135 0.158 0.422
0.865 0.842 0.578
0.279 0.536 0.578
0.512 0.361 0.591
0.829 0.304 0.595
0.510 0.921 0.616
0.203 0.245 0.686
0.755 0.797 0.814
0.079 0.490 0.884
0.696 0.171 0.905
0.639 0.488 0.909
0.464 0.721 0.922
0.158 0.135 0.922
0.716 0.366 0.001
0.304 0.263 0.066
0.737 0.696 0.434
0.634 0.284 0.499
0.366 0.716 0.501
0.263 0.304 0.566
0.696 0.737 0.934
0.284 0.634 0.999



11.
KGdPO, optimized geometry, DFT GGA-PBE; M_tot = 0.00 μB per formula unit; V = 205 Å³ per cell; ΔE to the lowest computed polymorph = 0.00 eV per formula unit; final energy = -5.52 eV/atom; theoretical density = 3.94 Mg/m³
1.0
3.476 0.000 0.000
0.000 7.759 0.000
0.000 0.000 7.600
Gd K O P
2 2 2 2
Direct
0.000 0.123 0.459
0.000 0.877 0.959
0.500 0.454 0.099
0.500 0.546 0.599
0.500 0.256 0.377
0.500 0.744 0.877
0.000 0.787 0.320
0.000 0.213 0.820



12.
KGdPO, optimized geometry, DFT GGA-PBE; M_tot = 0.00 μB per formula unit; V = 170 Å³ per cell; ΔE to the lowest computed polymorph = 1.83 eV per formula unit; final energy = -5.06 eV/atom; theoretical density = 4.76 Mg/m³
1.0
-1.454 -5.175 2.126
-1.565 -1.733 -5.288
4.725 -1.677 -0.849
Gd K O P
2 2 2 2
Direct
0.000 0.000 0.500
0.500 0.500 0.500
0.000 0.500 0.000
0.500 0.000 0.000
0.000 0.000 0.000
0.500 0.500 0.000
0.500 0.000 0.500
0.000 0.500 0.500



Question: final energy of number 10 (KGdP4O12)?
Answer: -7.27 eV/atom



Question: The highest theoretical density belongs to which entry?
Answer: number 4